[1]
# PBE Sc4Sn2C, relaxed
# * calculated formation energy: -0.4907 eV per atom
# * final energy: -6.5701 eV/atom
# * energy above the lowest structure with this stoichiometry: 250 meV/atom
data_Sc4Sn2C
_symmetry_space_group_name_H-M 'P 1 21/m 1'
_symmetry_Int_Tables_number 11
_cell_length_a 5.9582
_cell_length_b 6.3266
_cell_length_c 8.6408
_cell_angle_alpha 90.00
_cell_angle_beta 108.01
_cell_angle_gamma 90.00
loop_
_symmetry_equiv_pos_as_xyz
'x,y,z'
'-x,-y,-z'
'-x,y+1/2,-z'
'x,-y+1/2,z'
loop_
_atom_site_label
_atom_site_type_symbol
_atom_site_fract_x
_atom_site_fract_y
_atom_site_fract_z
Sc1 Sc 0.1810 0.2500 0.0547
Sc2 Sc 0.2537 0.0003 0.7249
Sc3 Sc 0.2627 0.7500 0.3455
Sn1 Sn 0.2383 0.2500 0.4144
Sn2 Sn 0.3440 0.7500 0.0299
C1 C 0.0880 0.2500 0.8014

=====

[2]
# PBE Sc7Sn2C2, relaxed
# * calculated formation energy: -0.3549 eV per atom
# * final energy: -6.7889 eV/atom
data_Sc7Sn2C2
_symmetry_space_group_name_H-M 'I m m 2'
_symmetry_Int_Tables_number 44
_cell_length_a 3.3029
_cell_length_b 13.1404
_cell_length_c 10.0074
_cell_angle_alpha 90.00
_cell_angle_beta 90.00
_cell_angle_gamma 90.00
loop_
_symmetry_equiv_pos_as_xyz
'x,y,z'
'-x,-y,z'
'-x,y,z'
'x,-y,z'
'x+1/2,y+1/2,z+1/2'
'-x+1/2,-y+1/2,z+1/2'
'-x+1/2,y+1/2,z+1/2'
'x+1/2,-y+1/2,z+1/2'
loop_
_atom_site_label
_atom_site_type_symbol
_atom_site_fract_x
_atom_site_fract_y
_atom_site_fract_z
Sc1 Sc 0.0000 0.0000 0.0000
Sc2 Sc 0.0000 0.1503 0.4191
Sc3 Sc 0.0000 0.3048 0.6200
Sc4 Sc 0.0000 0.3543 0.3181
Sn1 Sn 0.0000 0.0000 0.6533
Sn2 Sn 0.0000 0.5000 0.7598
C1 C 0.0000 0.2104 0.9552

=====

> Number 2 is which compound?

Sc7Sn2C2

=====

> The lowest final energy belongs to which entry?

Sc7Sn2C2

=====

> Among the records above, which one has the highest calculated formation energy?

Sc7Sn2C2